1.
Here is an optimized crystal structure of TlHg2Sb from the Alexandria database. Energies are from PBE-GGA.

Its space group is Pmmm (47). The value obtained for the energy relative to the elements, uncorrected is 0.03 eV per atom. The crystal system is orthorhombic.

Cell: 5.333 3.197 6.627 Å, 89.98 90.00 90.00°
Atoms (fractional coordinates):
Sb 0.500 0.250 0.250
Tl 0.500 0.750 0.750
Hg 0.000 0.249 0.995
Hg 0.000 0.251 0.505

---

2.
Here is an optimized crystal structure of Tl4Hg12Sb from the Alexandria database. Energies are from PBE-GGA.

Its space group is Im-3m (229). The value obtained for the energy relative to the elements, uncorrected is 0.02 eV per atom. The crystal system is cubic.

Cell: 8.569 8.569 8.569 Å, 109.47 109.47 109.47°
Atoms (fractional coordinates):
Tl 0.000 0.000 0.500
Tl 0.500 0.000 0.000
Tl 0.500 0.500 0.500
Tl 0.000 0.500 0.000
Hg 0.000 0.301 0.301
Hg 0.000 0.699 0.699
Hg 0.699 0.699 0.000
Hg 0.301 0.301 0.000
Hg 0.301 0.000 0.301
Hg 0.699 0.000 0.699
Hg 0.500 0.250 0.750
Hg 0.500 0.750 0.250
Hg 0.750 0.250 0.500
Hg 0.250 0.750 0.500
Hg 0.750 0.500 0.250
Hg 0.250 0.500 0.750
Sb 0.000 0.000 0.000

---

3.
Here is an optimized crystal structure of Tl4Hg3Sb from the Alexandria database. Energies are from PBE-GGA.

Its space group is Pmm2 (25). The value obtained for the energy relative to the elements, uncorrected is 0.01 eV per atom. The distance to the lowest polymorph of the same formula comes out at 0.000 eV/f.u. The crystal system is orthorhombic.

Cell: 4.482 4.656 11.910 Å, 90.00 90.00 90.00°
Atoms (fractional coordinates):
Tl 0.500 0.500 0.351
Tl 0.000 0.500 0.869
Tl 0.000 0.000 0.145
Tl 0.500 0.000 0.645
Hg 0.000 0.500 0.594
Hg 0.000 0.000 0.409
Hg 0.500 0.000 0.905
Sb 0.500 0.500 0.083